Entry 1:
# AlFe3 meta-GGA SCAN single point on PBEsol structure
data_AlFe3
_cell_length_a 3.983
_cell_length_b 3.983
_cell_length_c 11.384
_cell_angle_alpha 90.00
_cell_angle_beta 90.00
_cell_angle_gamma 90.00
_symmetry_space_group_name_H-M 'I 4/m m m'
_symmetry_Int_Tables_number 139
_symmetry_space_group_name_Hall '-I 4 2'
loop_
_atom_site_label
_atom_site_type_symbol
_atom_site_fract_x
_atom_site_fract_y
_atom_site_fract_z
_atom_site_occupancy
Al1 Al 0.000 0.000 0.127 1
Fe1 Fe 0.000 0.000 0.375 1
Fe2 Fe 0.000 0.500 0.000 1
Fe3 Fe 0.000 0.500 0.250 1
# total magnetization = 1.715 μB/atom

Entry 2:
# TbGePd meta-GGA SCAN single point on PBEsol structure
data_TbGePd
_cell_length_a 4.351
_cell_length_b 20.805
_cell_length_c 7.528
_cell_angle_alpha 90.00
_cell_angle_beta 90.00
_cell_angle_gamma 90.00
_symmetry_space_group_name_H-M 'I m m 2'
_symmetry_Int_Tables_number 44
_symmetry_space_group_name_Hall 'I 2 -2'
loop_
_atom_site_label
_atom_site_type_symbol
_atom_site_fract_x
_atom_site_fract_y
_atom_site_fract_z
_atom_site_occupancy
Tb1 Tb 0.000 0.000 0.000 1
Tb2 Tb 0.000 0.166 0.913 1
Tb3 Tb 0.000 0.332 0.994 1
Tb4 Tb 0.000 0.500 0.915 1
Ge1 Ge 0.000 0.095 0.295 1
Ge2 Ge 0.000 0.265 0.612 1
Ge3 Ge 0.000 0.435 0.296 1
Pd1 Pd 0.000 0.072 0.627 1
Pd2 Pd 0.000 0.232 0.284 1
Pd3 Pd 0.000 0.395 0.623 1
# total magnetization = 0.000 μB/atom

no.,E (eV per cell),energy of formation from the pure elements (meV/atom),Fermi-level density of states (states/eV/f.u.)
1,-251.8,-200,3.51
2,-1223.8,-1121,1.00